[1]
First-principles (PBE) data for an optimized crystal structure of Tb2AlSnPt6, as listed in the Alexandria database.

```
Tb2AlSnPt6
1.0
-2.608 -7.520 3.831
4.128 0.473 3.737
-1.182 1.072 5.352
Tb Al Sn Pt
2 1 1 6
Direct
0.397 0.799 0.402
0.603 0.201 0.598
0.500 0.500 0.000
0.000 0.000 0.000
0.271 0.758 0.985
0.729 0.743 0.015
0.271 0.256 0.487
0.729 0.242 0.015
0.271 0.257 0.985
0.729 0.744 0.513
```

Properties
**Calculated total energy**: -6.211 eV/atom
**Calculated formation energy**: -0.89 eV per atom
**Crystal system**: monoclinic

[2]
First-principles (PBE) data for an optimized crystal structure of Tb2Al2SnPt5, as listed in the Alexandria database.

```
Tb2Al2SnPt5
1.0
3.725 0.000 0.000
0.000 9.965 0.000
0.000 0.000 9.965
Tb Al Sn Pt
4 4 2 10
Direct
0.000 0.679 0.179
0.000 0.321 0.821
0.000 0.179 0.321
0.000 0.821 0.679
0.000 0.118 0.618
0.000 0.882 0.382
0.000 0.618 0.882
0.000 0.382 0.118
0.000 0.000 0.000
0.000 0.500 0.500
0.500 0.213 0.062
0.500 0.787 0.938
0.500 0.062 0.787
0.500 0.713 0.438
0.500 0.938 0.213
0.500 0.287 0.562
0.500 0.562 0.713
0.500 0.438 0.287
0.500 0.500 0.000
0.500 0.000 0.500
```

Properties
**Calculated total energy**: -6.046 eV/atom
**Calculated formation energy**: -0.95 eV per atom
**Crystal system**: tetragonal

[3]
First-principles (PBE) data for an optimized crystal structure of Th2AlSnPt6, as listed in the Alexandria database.

```
Th2AlSnPt6
1.0
-5.341 -0.207 -4.218
0.964 -6.588 0.910
-3.658 -4.691 3.126
Th Al Sn Pt
2 1 1 6
Direct
0.216 0.755 0.539
0.784 0.245 0.461
0.500 0.500 0.000
0.000 0.000 0.000
0.242 0.729 0.989
0.586 0.745 0.158
0.242 0.231 0.487
0.758 0.271 0.011
0.414 0.255 0.842
0.758 0.769 0.513
```

Properties
**Calculated total energy**: -6.763 eV/atom
**Calculated formation energy**: -0.88 eV per atom
**Crystal system**: monoclinic

[4]
First-principles (PBE) data for an optimized crystal structure of Ti2AlSnPt, as listed in the Alexandria database.

```
Ti2AlSnPt
1.0
-1.703 3.922 -1.974
-2.181 -2.515 -3.116
-3.769 -0.220 2.816
Al Sn Pt Ti
1 1 1 2
Direct
0.000 0.000 0.000
0.500 0.500 0.500
0.000 0.500 0.000
0.000 0.000 0.500
0.500 0.000 0.000
```

Properties
**Calculated total energy**: -5.637 eV/atom
**Calculated formation energy**: 0.28 eV per atom
**Crystal system**: tetragonal